CdHg2Pb: PBEsol geometry, meta-GGA SCAN.

Properties
* volume: 195.1 Å³ per cell
* total energy: -242.32 eV/f.u.
* ΔE_f: 0.21 eV/f.u.

abc: 3.470 5.411 10.394
angles: 90.00 90.00 90.00
Space group Imm2 (No. 44)
Symmetry-distinct sites (fractional):
Cd  0.000  0.000  0.000 x2
Hg  0.000  0.000  0.522 x2
Hg  0.000  0.500  0.266 x2
Pb  0.000  0.500  0.758 x2

***

YIrW2: PBEsol geometry, meta-GGA SCAN.

Properties
* volume: 69.4 Å³ per cell
* total energy: -236.31 eV/f.u.
* excess energy over the best structure of this formula in the dataset: 321 meV/atom
* ΔE_f: 2.01 eV/f.u.

abc: 2.813 4.573 5.397
angles: 90.00 90.00 90.00
Space group Pmmm (No. 47)
Symmetry-distinct sites (fractional):
Y  0.000  0.000  0.000 x1
Ir  0.000  0.000  0.500 x1
W  0.500  0.500  0.260 x2

***

IrBrCl2: PBEsol geometry, meta-GGA SCAN.

Properties
* ΔE_f (raw): 3.1 eV/f.u.
* volume: 76.6 Å³ per cell
* total energy: -103.39 eV/f.u.
* excess energy over the best structure of this formula in the dataset: 684 meV/atom

abc: 3.136 3.136 7.791
angles: 90.00 90.00 90.00
Space group P4mm (No. 99)
Symmetry-distinct sites (fractional):
Ir  0.000  0.000  0.000 x1
Br  0.500  0.500  0.815 x1
Cl  0.000  0.000  0.549 x1
Cl  0.500  0.500  0.200 x1

***

MnZnS2: PBEsol geometry, meta-GGA SCAN.

Properties
* ΔE_f (raw): -4.0 eV/f.u.
* volume: 80.8 Å³ per cell
* total energy: -55.07 eV/f.u.

abc: 3.8439 3.8439 6.3110
angles: 90.00 90.00 120.00
Space group P3m1 (No. 156)
Symmetry-distinct sites (fractional):
Mn  0.0000  0.0000  0.0000 x1
Zn  0.3333  0.6667  0.4958 x1
S  0.0000  0.0000  0.3757 x1
S  0.3333  0.6667  0.8635 x1

***

CoCuAu: PBEsol geometry, meta-GGA SCAN.

Properties
* volume: 191.3 Å³ per cell
* total energy: -100.13 eV/f.u.
* ΔE_f: 1.53 eV/f.u.

abc: 5.762 5.762 5.762
angles: 90.00 90.00 90.00
Space group F-43m (No. 216)
Symmetry-distinct sites (fractional):
Co  0.000  0.000  0.000 x4
Cu  0.000  0.000  0.500 x4
Au  0.250  0.250  0.750 x4

***

HfBe5: PBEsol geometry, meta-GGA SCAN.

Properties
* volume: 59.9 Å³ per cell
* total energy: -85.71 eV/f.u.
* ΔE_f: -1.27 eV/f.u.

abc: 4.4953 4.4953 3.4219
angles: 90.00 90.00 120.00
Space group P6/mmm (No. 191)
Symmetry-distinct sites (fractional):
Hf  0.0000  0.0000  0.0000 x1
Be  0.0000  0.5000  0.5000 x3
Be  0.3333  0.6667  0.0000 x2

***

Ti3HPd: PBEsol geometry, meta-GGA SCAN.

Properties
* volume: 64.0 Å³ per cell
* total energy: -86.33 eV/f.u.

abc: 3.999 3.999 3.999
angles: 90.00 90.00 90.00
Space group Pm-3m (No. 221)
Symmetry-distinct sites (fractional):
Ti  0.000  0.000  0.500 x3
H  0.000  0.000  0.000 x1
Pd  0.500  0.500  0.500 x1

***

YHg: PBEsol geometry, meta-GGA SCAN.

Properties
* volume: 49.1 Å³ per cell
* total energy: -97.56 eV/f.u.
* ΔE_f: -1.55 eV/f.u.

abc: 3.661 3.661 3.661
angles: 90.00 90.00 90.00
Space group Pm-3m (No. 221)
Symmetry-distinct sites (fractional):
Y  0.000  0.000  0.000 x1
Hg  0.500  0.500  0.500 x1

***

SrFeO3: PBEsol geometry, meta-GGA SCAN.

Properties
* ΔE_f (raw): -11.6 eV/f.u.
* volume: 54.0 Å³ per cell
* total energy: -70.66 eV/f.u.

abc: 3.780 3.780 3.780
angles: 90.00 90.00 90.00
Space group Pm-3m (No. 221)
Symmetry-distinct sites (fractional):
Sr  0.000  0.000  0.000 x1
Fe  0.500  0.500  0.500 x1
O  0.000  0.500  0.500 x3

***

ZnAu3: PBEsol geometry, meta-GGA SCAN.

Properties
* volume: 64.6 Å³ per cell
* total energy: -221.56 eV/f.u.
* ΔE_f: -0.57 eV/f.u.

abc: 2.936 3.481 6.318
angles: 90.00 90.00 90.00
Space group Pmmm (No. 47)
Symmetry-distinct sites (fractional):
Zn  0.000  0.000  0.000 x1
Au  0.000  0.000  0.500 x1
Au  0.500  0.500  0.229 x2

***

Cd2AsSe: PBEsol geometry, meta-GGA SCAN.

Properties
* ΔE_f (raw): 0.3 eV/f.u.
* volume: 172.8 Å³ per cell
* total energy: -100.75 eV/f.u.
* excess energy over the best structure of this formula in the dataset: 76 meV/atom

abc: 12.030 3.475 4.423
angles: 90.00 110.83 90.00
Space group C2/m (No. 12)
Symmetry-distinct sites (fractional):
Cd  0.250  0.000  0.250 x4
As  0.000  0.000  0.000 x2
Se  0.000  0.500  0.500 x2

***

Ca2AsBr: PBEsol geometry, meta-GGA SCAN.

Properties
* ΔE_f (raw): -6.6 eV/f.u.
* volume: 104.6 Å³ per cell
* total energy: -65.57 eV/f.u.

abc: 4.244 4.244 5.807
angles: 90.00 90.00 90.00
Space group P4/mmm (No. 123)
Symmetry-distinct sites (fractional):
Ca  0.000  0.000  0.000 x1
Ca  0.500  0.500  0.500 x1
As  0.000  0.000  0.500 x1
Br  0.500  0.500  0.000 x1

***

Number 1: magnetic moment 0.000 μB/f.u.. Number 2: magnetic moment 0.000 μB/f.u.. Number 3: magnetic moment 0.002 μB/f.u.. Number 4: magnetic moment 5.000 μB/f.u.. Number 5: magnetic moment 2.212 μB/f.u.. Number 6: magnetic moment 0.000 μB/f.u.. Number 7: magnetic moment 0.000 μB/f.u.. Number 8: magnetic moment 0.000 μB/f.u.. Number 9: magnetic moment 3.744 μB/f.u.. Number 10: magnetic moment 0.000 μB/f.u.. Number 11: magnetic moment 0.000 μB/f.u.. Number 12: magnetic moment 0.000 μB/f.u..